1.
ScZnCdCo | PBE-GGA | relaxed

Cell lengths 6.4235, 6.4235, 6.4235 Å; angles 90.00, 90.00, 90.00 degrees
Closest atoms and distances in Å follow each position.
Space group F-43m (No. 216)
Unique sites:
1 Sc 0.0000 0.0000 0.0000 [4 per cell]  4 Cd 2.78, 4 Co 2.78
2 Zn 0.0000 0.0000 0.5000 [4 per cell]  4 Co 2.78, 4 Cd 2.78
3 Cd 0.2500 0.2500 0.2500 [4 per cell]  4 Sc 2.78, 4 Zn 2.78
4 Co 0.2500 0.2500 0.7500 [4 per cell]  4 Sc 2.78, 4 Zn 2.78

## Properties
calculated formation energy = -50 meV/atom
V = 265.0 Å³/cell

=====

2.
LuTaN2O | PBE-GGA | relaxed

Cell lengths 5.6680, 5.6680, 13.9843 Å; angles 90.00, 90.00, 120.00 degrees
Closest atoms and distances in Å follow each position.
Space group P6_3/mmc (No. 194)
Unique sites:
1 Lu 0.0000 0.0000 0.2500 [2 per cell]  6 N 2.68, 6 O 2.84
2 Lu 0.3333 0.6667 0.1301 [4 per cell]  3 O 2.27
3 Ta 0.0000 0.0000 0.0000 [2 per cell]  6 N 2.02
4 Ta 0.3333 0.6667 0.6458 [4 per cell]  3 N 1.88
5 N 0.1570 0.3140 0.5937 [12 per cell]  2 Ta 1.88-2.02
6 O 0.0220 0.5110 0.2500 [6 per cell]  2 Lu 2.27, 2 Ta 2.27

## Properties
uncorrected energy = -275.10 eV/cell
V = 389.1 Å³/cell

=====

3.
HfZn2Ag2 | PBE-GGA | relaxed

Cell lengths 3.9069, 3.9069, 11.6747 Å; angles 90.00, 90.00, 90.00 degrees
Closest atoms and distances in Å follow each position.
Space group I4/mmm (No. 139)
Unique sites:
1 Hf 0.0000 0.0000 0.0000 [2 per cell]  8 Zn 3.00
2 Zn 0.0000 0.0000 0.4001 [4 per cell]  1 Zn 2.33
3 Ag 0.0000 0.5000 0.2500 [4 per cell]  4 Zn 2.62, 4 Ag 2.76

## Properties
calculated formation energy = 76 meV/atom
V = 178.2 Å³/cell

=====

4.
LiAg3OsS4 | PBE-GGA | relaxed

Cell lengths 5.9259, 5.9259, 5.9259 Å; angles 90.00, 90.00, 90.00 degrees
Closest atoms and distances in Å follow each position.
Space group P-43m (No. 215)
Unique sites:
1 Li 0.0000 0.0000 0.0000 [1 per cell]  4 S 2.72
2 Ag 0.0000 0.5000 0.5000 [3 per cell]  4 S 2.52
3 Os 0.5000 0.5000 0.5000 [1 per cell]  4 S 2.42
4 S 0.2647 0.2647 0.2647 [4 per cell]  1 Os 2.42, 3 Ag 2.52

## Properties
uncorrected energy = -37.68 eV/cell
V = 208.1 Å³/cell

=====

5.
RbGaCu | PBE-GGA | relaxed

Cell lengths 7.2292, 7.2292, 7.2292 Å; angles 90.00, 90.00, 90.00 degrees
Closest atoms and distances in Å follow each position.
Space group F-43m (No. 216)
Unique sites:
1 Rb 0.0000 0.0000 0.0000 [4 per cell]  4 Ga 3.13
2 Ga 0.2500 0.2500 0.7500 [4 per cell]  4 Rb 3.13, 4 Cu 3.13
3 Cu 0.0000 0.0000 0.5000 [4 per cell]  4 Ga 3.13

## Properties
uncorrected energy = -23.23 eV/cell
V = 377.8 Å³/cell

=====

6.
CuAsIrPd | PBE-GGA | relaxed

Cell lengths 6.1707, 6.1707, 6.1707 Å; angles 90.00, 90.00, 90.00 degrees
Closest atoms and distances in Å follow each position.
Space group F-43m (No. 216)
Unique sites:
1 Cu 0.0000 0.0000 0.0000 [4 per cell]  4 As 2.67, 4 Pd 2.67
2 As 0.2500 0.2500 0.7500 [4 per cell]  4 Cu 2.67, 4 Ir 2.67
3 Ir 0.0000 0.0000 0.5000 [4 per cell]  4 Pd 2.67, 4 As 2.67
4 Pd 0.2500 0.2500 0.2500 [4 per cell]  4 Cu 2.67, 4 Ir 2.67

## Properties
uncorrected energy = -88.12 eV/cell
V = 235.0 Å³/cell

=====

7.
SrCuP | PBE-GGA | relaxed

Cell lengths 5.0265, 5.0265, 6.0095 Å; angles 90.00, 90.00, 120.00 degrees
Closest atoms and distances in Å follow each position.
Space group P6_3/mmc (No. 194)
Unique sites:
1 Sr 0.3333 0.6667 0.2500 [2 per cell]  5 P 2.90-3.00
2 Cu 0.0000 0.0000 0.0000 [2 per cell]  2 Cu 3.00, 6 Sr 3.27, 6 P 3.27
3 P 0.3333 0.6667 0.7500 [2 per cell]  5 Sr 2.90-3.00

## Properties
uncorrected energy = -22.65 eV/cell
V = 131.5 Å³/cell

=====

8.
CsInHgS3 | PBE-GGA | relaxed

Cell lengths 4.0181, 16.0348, 12.2039 Å; angles 90.00, 90.00, 90.00 degrees
Closest atoms and distances in Å follow each position.
Space group Cmcm (No. 63)
Unique sites:
1 Cs 0.0000 0.2359 0.2500 [4 per cell]  6 S 3.49-3.65
2 In 0.0000 0.4922 0.7500 [4 per cell]  4 S 2.49-2.51
3 Hg 0.0000 0.0000 0.0000 [4 per cell]  4 S 2.72
4 S 0.0000 0.0860 0.7500 [4 per cell]  2 In 2.51
5 S 0.0000 0.4043 0.5821 [8 per cell]  1 In 2.49, 2 Hg 2.72

## Properties
uncorrected energy = -79.52 eV/cell
V = 786.3 Å³/cell